[1]
{"formula": "Ho3TeIr", "functional": "PBE", "state": "relaxed", "m_tot_mub_per_fu": 0.000, "raw_formation_energy_ev_per_atom": -0.87, "relative_energy_mev_per_atom": 81, "energy_ev_per_atom": -6.0205, "dos_at_fermi_per_ev_cell": 8.605, "spacegroup": "C2/m, No. 12", "lattice_angstrom": [[6.874, -2.007, 0.000], [6.874, 2.007, 0.000], [-1.642, 0.000, 9.853]], "species": ["Ho", "Ho", "Ho", "Ho", "Ho", "Ho", "Te", "Te", "Ir", "Ir"], "frac_coords": [[0.029, 0.029, 0.356], [0.245, 0.245, 0.647], [0.363, 0.363, 0.126], [0.637, 0.637, 0.874], [0.755, 0.755, 0.353], [0.971, 0.971, 0.644], [0.137, 0.137, 0.113], [0.863, 0.863, 0.887], [0.394, 0.394, 0.428], [0.606, 0.606, 0.572]]}

***

[2]
{"formula": "OsCl", "functional": "PBE", "state": "relaxed", "m_tot_mub_per_fu": 0.016, "raw_formation_energy_ev_per_atom": 1.78, "relative_energy_mev_per_atom": 1661, "energy_ev_per_atom": -4.7535, "dos_at_fermi_per_ev_cell": 2.917, "spacegroup": "F-43m, No. 216", "lattice_angstrom": [[0.000, 2.665, 2.665], [2.665, 0.000, 2.665], [2.665, 2.665, 0.000]], "species": ["Os", "Cl"], "frac_coords": [[0.000, 0.000, 0.000], [0.250, 0.250, 0.250]]}

***

[3]
{"formula": "In2Fe2Ru", "functional": "PBE", "state": "relaxed", "m_tot_mub_per_fu": 4.084, "formation_enthalpy_0k_ev_per_atom": 0.36, "energy_ev_per_atom": -5.9719, "dos_at_fermi_per_ev_cell": 10.583, "spacegroup": "P4/mbm, No. 127", "lattice_angstrom": [[6.291, 0.000, 0.000], [0.000, 6.291, 0.000], [0.000, 0.000, 4.116]], "species": ["In", "In", "In", "In", "Fe", "Fe", "Fe", "Fe", "Ru", "Ru"], "frac_coords": [[0.181, 0.319, 0.000], [0.319, 0.819, 0.000], [0.681, 0.181, 0.000], [0.819, 0.681, 0.000], [0.123, 0.623, 0.500], [0.377, 0.123, 0.500], [0.623, 0.877, 0.500], [0.877, 0.377, 0.500], [0.000, 0.000, 0.500], [0.500, 0.500, 0.500]]}

***

[4]
{"formula": "Ba3Li9Cd2", "functional": "PBE", "state": "relaxed", "m_tot_mub_per_fu": 0.000, "formation_enthalpy_0k_ev_per_atom": -0.07, "energy_ev_per_atom": -1.8452, "dos_at_fermi_per_ev_cell": 6.759, "spacegroup": "Immm, No. 71", "lattice_angstrom": [[-2.515, 5.586, 7.311], [2.515, -5.586, 7.311], [2.515, 5.586, -7.311]], "species": ["Ba", "Ba", "Ba", "Li", "Li", "Li", "Li", "Li", "Li", "Li", "Li", "Li", "Cd", "Cd"], "frac_coords": [[0.000, 0.000, 0.000], [0.316, 0.316, 0.000], [0.684, 0.684, 0.000], [0.017, 0.684, 0.333], [0.172, 0.892, 0.280], [0.351, 0.684, 0.667], [0.388, 0.108, 0.280], [0.500, 0.000, 0.500], [0.612, 0.892, 0.720], [0.649, 0.316, 0.333], [0.828, 0.108, 0.720], [0.983, 0.316, 0.667], [0.276, 0.500, 0.776], [0.724, 0.500, 0.224]]}

***

[5]
{"formula": "Rh2CN", "functional": "PBE", "state": "relaxed", "m_tot_mub_per_fu": 0.000, "raw_formation_energy_ev_per_atom": 1.38, "relative_energy_mev_per_atom": 872, "energy_ev_per_atom": -6.6833, "dos_at_fermi_per_ev_cell": 4.945, "spacegroup": "Fm-3m, No. 225", "lattice_angstrom": [[0.000, 2.713, 2.713], [2.713, 0.000, 2.713], [2.713, 2.713, 0.000]], "species": ["Rh", "Rh", "C", "N"], "frac_coords": [[0.250, 0.250, 0.250], [0.750, 0.750, 0.750], [0.000, 0.000, 0.000], [0.500, 0.500, 0.500]]}

***

[6]
{"formula": "TlAuF6", "functional": "PBE", "state": "relaxed", "m_tot_mub_per_fu": 0.000, "raw_formation_energy_ev_per_atom": -1.39, "relative_energy_mev_per_atom": 18, "energy_ev_per_atom": -3.4982, "dos_at_fermi_per_ev_cell": 0.000, "spacegroup": "P-1, No. 2", "lattice_angstrom": [[5.181, 0.000, 0.000], [2.187, 4.949, 0.000], [2.395, -0.897, 5.336]], "species": ["Tl", "Au", "F", "F", "F", "F", "F", "F"], "frac_coords": [[0.000, 0.000, 0.000], [0.000, 0.500, 0.500], [0.126, 0.594, 0.747], [0.177, 0.723, 0.274], [0.438, 0.946, 0.780], [0.562, 0.054, 0.220], [0.823, 0.277, 0.726], [0.874, 0.406, 0.253]]}

***

[7]
{"formula": "AcThS4", "functional": "PBE", "state": "relaxed", "m_tot_mub_per_fu": 0.000, "raw_formation_energy_ev_per_atom": -1.80, "relative_energy_mev_per_atom": 0, "energy_ev_per_atom": -6.4738, "dos_at_fermi_per_ev_cell": 3.184, "spacegroup": "Cmmm, No. 65", "lattice_angstrom": [[3.172, -3.523, 0.000], [3.172, 3.523, 0.000], [0.000, 0.000, 7.162]], "species": ["Ac", "Th", "S", "S", "S", "S"], "frac_coords": [[0.000, 0.000, 0.000], [0.500, 0.500, 0.500], [0.000, 0.500, 0.266], [0.000, 0.500, 0.734], [0.500, 0.000, 0.266], [0.500, 0.000, 0.734]]}

***

[8]
{"formula": "Er2BeInPt6", "functional": "PBE", "state": "relaxed", "m_tot_mub_per_fu": 0.000, "formation_enthalpy_0k_ev_per_atom": -0.86, "energy_ev_per_atom": -6.0428, "dos_at_fermi_per_ev_cell": 3.055, "spacegroup": "R-3m, No. 166", "lattice_angstrom": [[2.778, 1.604, 7.925], [-2.778, 1.604, 7.925], [0.000, -3.208, 7.925]], "species": ["Er", "Er", "Be", "In", "Pt", "Pt", "Pt", "Pt", "Pt", "Pt"], "frac_coords": [[0.200, 0.200, 0.200], [0.800, 0.800, 0.800], [0.500, 0.500, 0.500], [0.000, 0.000, 0.000], [0.240, 0.738, 0.738], [0.262, 0.262, 0.760], [0.262, 0.760, 0.262], [0.738, 0.240, 0.738], [0.738, 0.738, 0.240], [0.760, 0.262, 0.262]]}

***

[9]
{"formula": "Na3Y3PaS8", "functional": "PBE", "state": "relaxed", "m_tot_mub_per_fu": 1.036, "raw_formation_energy_ev_per_atom": -1.79, "energy_ev_per_atom": -6.1762, "dos_at_fermi_per_ev_cell": 4.102, "spacegroup": "R-3m, No. 166", "lattice_angstrom": [[4.003, 2.311, 6.724], [-4.003, 2.311, 6.724], [0.000, -4.622, 6.724]], "species": ["Na", "Na", "Na", "Y", "Y", "Y", "Pa", "S", "S", "S", "S", "S", "S", "S", "S"], "frac_coords": [[0.000, 0.500, 0.500], [0.500, 0.000, 0.500], [0.500, 0.500, 0.000], [0.000, 0.000, 0.500], [0.000, 0.500, 0.000], [0.500, 0.000, 0.000], [0.500, 0.500, 0.500], [0.242, 0.242, 0.242], [0.245, 0.738, 0.738], [0.262, 0.262, 0.755], [0.262, 0.755, 0.262], [0.738, 0.245, 0.738], [0.738, 0.738, 0.245], [0.755, 0.262, 0.262], [0.758, 0.758, 0.758]]}

***

[10]
{"formula": "Ce2Sm2Pt15", "functional": "PBE", "state": "relaxed", "m_tot_mub_per_fu": 0.707, "formation_enthalpy_0k_ev_per_atom": -0.71, "energy_ev_per_atom": -6.5990, "dos_at_fermi_per_ev_cell": 19.966, "spacegroup": "R-3m, No. 166", "lattice_angstrom": [[4.685, 2.705, 4.644], [-4.685, 2.705, 4.644], [0.000, -5.410, 4.644]], "species": ["Ce", "Ce", "Sm", "Sm", "Pt", "Pt", "Pt", "Pt", "Pt", "Pt", "Pt", "Pt", "Pt", "Pt", "Pt", "Pt", "Pt", "Pt", "Pt"], "frac_coords": [[0.100, 0.100, 0.100], [0.900, 0.900, 0.900], [0.361, 0.361, 0.361], [0.639, 0.639, 0.639], [0.000, 0.000, 0.500], [0.000, 0.320, 0.680], [0.000, 0.500, 0.000], [0.000, 0.680, 0.320], [0.165, 0.656, 0.656], [0.320, 0.000, 0.680], [0.320, 0.680, 0.000], [0.344, 0.344, 0.835], [0.344, 0.835, 0.344], [0.500, 0.000, 0.000], [0.656, 0.165, 0.656], [0.656, 0.656, 0.165], [0.680, 0.000, 0.320], [0.680, 0.320, 0.000], [0.835, 0.344, 0.344]]}

***

[11]
{"formula": "LiCrSn2Ge", "functional": "PBE", "state": "relaxed", "m_tot_mub_per_fu": 3.359, "formation_enthalpy_0k_ev_per_atom": 0.54, "energy_ev_per_atom": -4.2922, "dos_at_fermi_per_ev_cell": 3.033, "spacegroup": "P4/mmm, No. 123", "lattice_angstrom": [[5.093, 0.000, 0.000], [0.000, 5.093, 0.000], [0.000, 0.000, 4.845]], "species": ["Li", "Cr", "Sn", "Sn", "Ge"], "frac_coords": [[0.000, 0.000, 0.000], [0.000, 0.000, 0.500], [0.000, 0.500, 0.500], [0.500, 0.000, 0.500], [0.500, 0.500, 0.000]]}

***

[12]
{"formula": "KMgBr2", "functional": "PBE", "state": "relaxed", "m_tot_mub_per_fu": 0.632, "raw_formation_energy_ev_per_atom": -1.13, "relative_energy_mev_per_atom": 21, "energy_ev_per_atom": -2.6345, "dos_at_fermi_per_ev_cell": 1.016, "spacegroup": "Cm, No. 8", "lattice_angstrom": [[6.797, -2.179, 0.000], [6.797, 2.179, 0.000], [-0.091, 0.000, 4.626]], "species": ["K", "Mg", "Br", "Br"], "frac_coords": [[0.000, 0.000, 0.000], [0.762, 0.762, 0.459], [0.282, 0.282, 0.084], [0.570, 0.570, 0.506]]}